Run A
A plane-wave DFT calculation with PBE was carried out for an optimized crystal structure of PmYAg.

Crystal system: tetragonal

Unit cell a=3.637 b=3.637 c=12.806 alpha=90.00 beta=90.00 gamma=90.00
Space group I4mm (No. 107)
Unique sites:
Pm  0.000  0.000  0.000
Y  0.000  0.000  0.703
Ag  0.000  0.000  0.343

---

Run B
A plane-wave DFT calculation with PBE was carried out for an optimized crystal structure of PmYAg.

Crystal system: orthorhombic

Unit cell a=7.015 b=5.184 c=9.297 alpha=90.00 beta=90.00 gamma=90.00
Space group Pnma (No. 62)
Unique sites:
Pm  0.156  0.250  0.081
Y  0.012  0.250  0.687
Ag  0.227  0.250  0.402

---

Run C
A plane-wave DFT calculation with PBE was carried out for an optimized crystal structure of PmYAg.

Crystal system: trigonal

Unit cell a=5.0994 b=5.0994 c=3.7411 alpha=90.00 beta=90.00 gamma=120.00
Space group P3m1 (No. 156)
Unique sites:
Pm  0.0000  0.0000  0.0000
Y  0.6667  0.3333  0.4526
Ag  0.3333  0.6667  0.6854

---

Least stable of them? run C.

---

Run A
A plane-wave DFT calculation with PBE was carried out for an optimized crystal structure of PmYAg.

Crystal system: monoclinic

Unit cell a=13.094 b=3.841 c=8.548 alpha=90.00 beta=126.61 gamma=90.00
Space group C2/m (No. 12)
Unique sites:
Pm  0.101  0.000  0.376
Y  0.152  0.500  0.059
Ag  0.129  0.500  0.683

---

Run B
A plane-wave DFT calculation with PBE was carried out for an optimized crystal structure of PmYAg.

Crystal system: tetragonal

Unit cell a=4.823 b=4.823 c=7.556 alpha=90.00 beta=90.00 gamma=90.00
Space group P4/nmm (No. 129, origin choice 2)
Unique sites:
Pm  0.250  0.250  0.127
Y  0.250  0.750  0.500
Ag  0.250  0.250  0.742

---

Least stable of them? run B.